<1>
DFT (PBE) results for FeCoNi2N after structural relaxation. Values from VASP.

Structure (Quantum ESPRESSO input):
```
&SYSTEM
  ibrav = 0, nat = 5, ntyp = 4
/
ATOMIC_SPECIES
Fe 55.84 Fe.upf
Co 58.93 Co.upf
Ni 58.69 Ni.upf
N 14.01 N.upf
CELL_PARAMETERS angstrom
3.727 0.000 0.000
0.000 3.727 0.000
0.000 0.000 3.788
ATOMIC_POSITIONS crystal
Fe 0.000 0.000 0.000
Co 0.500 0.500 0.000
Ni 0.000 0.500 0.500
Ni 0.500 0.000 0.500
N 0.000 0.000 0.500
```

## Properties
- Magnetization: 5.08 μB per formula unit


<2>
DFT (PBE) results for FeCoNi2N after structural relaxation. Values from VASP.

Structure (Quantum ESPRESSO input):
```
&SYSTEM
  ibrav = 0, nat = 5, ntyp = 4
/
ATOMIC_SPECIES
Fe 55.84 Fe.upf
Co 58.93 Co.upf
Ni 58.69 Ni.upf
N 14.01 N.upf
CELL_PARAMETERS angstrom
3.769 0.000 0.000
0.000 3.769 0.000
0.000 0.000 3.721
ATOMIC_POSITIONS crystal
Fe 0.000 0.000 0.000
Co 0.500 0.500 0.000
Ni 0.000 0.500 0.500
Ni 0.500 0.000 0.500
N 0.500 0.500 0.500
```

## Properties
- Magnetization: 5.52 μB per formula unit


Which structure wins on stability? <1> wins.


<1>
DFT (PBE) results for FeCo2RhN after structural relaxation. Values from VASP.

Structure (Quantum ESPRESSO input):
```
&SYSTEM
  ibrav = 0, nat = 5, ntyp = 4
/
ATOMIC_SPECIES
Fe 55.84 Fe.upf
Co 58.93 Co.upf
Rh 102.91 Rh.upf
N 14.01 N.upf
CELL_PARAMETERS angstrom
3.754 0.000 0.000
0.000 3.754 0.000
0.000 0.000 4.066
ATOMIC_POSITIONS crystal
Fe 0.000 0.000 0.000
Co 0.000 0.500 0.500
Co 0.500 0.000 0.500
Rh 0.500 0.500 0.000
N 0.500 0.500 0.500
```

## Properties
- Magnetization: 6.95 μB per formula unit


<2>
DFT (PBE) results for FeCo2RhN after structural relaxation. Values from VASP.

Structure (Quantum ESPRESSO input):
```
&SYSTEM
  ibrav = 0, nat = 5, ntyp = 4
/
ATOMIC_SPECIES
Fe 55.84 Fe.upf
Co 58.93 Co.upf
Rh 102.91 Rh.upf
N 14.01 N.upf
CELL_PARAMETERS angstrom
3.777 0.000 0.000
0.000 3.777 0.000
0.000 0.000 3.880
ATOMIC_POSITIONS crystal
Fe 0.000 0.000 0.000
Co 0.000 0.500 0.500
Co 0.500 0.000 0.500
Rh 0.500 0.500 0.000
N 0.000 0.000 0.500
```

## Properties
- Magnetization: 6.99 μB per formula unit


Which structure wins on stability? <2> wins.


<1>
DFT (PBE) results for Fe2CoRhN after structural relaxation. Values from VASP.

Structure (Quantum ESPRESSO input):
```
&SYSTEM
  ibrav = 0, nat = 5, ntyp = 4
/
ATOMIC_SPECIES
Fe 55.84 Fe.upf
Co 58.93 Co.upf
Rh 102.91 Rh.upf
N 14.01 N.upf
CELL_PARAMETERS angstrom
3.859 0.000 0.000
0.000 3.859 0.000
0.000 0.000 3.757
ATOMIC_POSITIONS crystal
Fe 0.000 0.500 0.000
Fe 0.500 0.000 0.000
Co 0.000 0.000 0.500
Rh 0.500 0.500 0.500
N 0.000 0.000 0.000
```

## Properties
- Magnetization: 7.70 μB per formula unit


<2>
DFT (PBE) results for Fe2CoRhN after structural relaxation. Values from VASP.

Structure (Quantum ESPRESSO input):
```
&SYSTEM
  ibrav = 0, nat = 5, ntyp = 4
/
ATOMIC_SPECIES
Fe 55.84 Fe.upf
Co 58.93 Co.upf
Rh 102.91 Rh.upf
N 14.01 N.upf
CELL_PARAMETERS angstrom
3.802 0.000 0.000
0.000 3.802 0.000
0.000 0.000 3.998
ATOMIC_POSITIONS crystal
Fe 0.000 0.500 0.000
Fe 0.500 0.000 0.000
Co 0.000 0.000 0.500
Rh 0.500 0.500 0.500
N 0.500 0.500 0.000
```

## Properties
- Magnetization: 7.13 μB per formula unit


Which structure wins on stability? <1> wins.